VASP calculation (PBE) on a geometry-optimized BeMoAu structure.

a = 5.649 Å, b = 5.649 Å, c = 2.808 Å
α = 75.61°, β = 75.61°, γ = 28.79°
Sites, in units of the cell vectors:
Au (0.022, 0.022, 0.978)
Mo (0.316, 0.316, 0.684)
Be (0.662, 0.662, 0.338)

Total magnetization   0.004 Bohr magnetons per cell
V   13.90 Å³ per atom
Space group   I4mm (107)
Calculated density   12.02 g/cm³
DFT formation energy   9.0 kJ per mole of atoms
E above lowest polymorph   0.0000 eV per atom